Entry 1:
# GGA-PBEsol Ta2PtPbBr, optimized geometry
# ΔE_f (raw), eV per atom: 2.188
# Magnetic moment, Bohr magnetons per cell: 4.34
data_Ta2PtPbBr
_chemical_formula_sum 'Ta2 Pt1 Pb1 Br1'
_space_group_name_H-M_alt 'P 4/m m m'
_space_group_IT_number 123
_space_group_name_Hall '-P 4 2'
_cell_length_a 5.2917
_cell_length_b 5.2917
_cell_length_c 4.9297
_cell_angle_alpha 90.00
_cell_angle_beta 90.00
_cell_angle_gamma 90.00
loop_
_atom_site_label
_atom_site_type_symbol
_atom_site_fract_x
_atom_site_fract_y
_atom_site_fract_z
_atom_site_occupancy
Ta1 Ta 0.0000 0.5000 0.0000 1
Pt1 Pt 0.0000 0.0000 0.5000 1
Pb1 Pb 0.0000 0.0000 0.0000 1
Br1 Br 0.5000 0.5000 0.5000 1



Entry 2:
# GGA-PBEsol RbPb3Br, optimized geometry
# ΔE_f (raw), eV per atom: 1.102
# Magnetic moment, Bohr magnetons per cell: 2.24
data_RbPb3Br
_chemical_formula_sum 'Rb1 Pb3 Br1'
_space_group_name_H-M_alt 'P m -3 m'
_space_group_IT_number 221
_space_group_name_Hall '-P 4 2 3'
_cell_length_a 6.1801
_cell_length_b 6.1801
_cell_length_c 6.1801
_cell_angle_alpha 90.00
_cell_angle_beta 90.00
_cell_angle_gamma 90.00
loop_
_atom_site_label
_atom_site_type_symbol
_atom_site_fract_x
_atom_site_fract_y
_atom_site_fract_z
_atom_site_occupancy
Rb1 Rb 0.0000 0.0000 0.0000 1
Pb1 Pb 0.0000 0.0000 0.5000 1
Br1 Br 0.5000 0.5000 0.5000 1



Entry 3:
# GGA-PBEsol RbPb3Br, optimized geometry
# ΔE_f (raw), eV per atom: 0.217
# Magnetic moment, Bohr magnetons per cell: 0.00
data_RbPb3Br
_chemical_formula_sum 'Rb1 Pb3 Br1'
_space_group_name_H-M_alt 'P m -3 m'
_space_group_IT_number 221
_space_group_name_Hall '-P 4 2 3'
_cell_length_a 5.8025
_cell_length_b 5.8025
_cell_length_c 5.8025
_cell_angle_alpha 90.00
_cell_angle_beta 90.00
_cell_angle_gamma 90.00
loop_
_atom_site_label
_atom_site_type_symbol
_atom_site_fract_x
_atom_site_fract_y
_atom_site_fract_z
_atom_site_occupancy
Rb1 Rb 0.0000 0.0000 0.0000 1
Pb1 Pb 0.0000 0.5000 0.5000 1
Br1 Br 0.5000 0.5000 0.5000 1